{"formula": "MoIr2Ru", "functional": "GGA-PBE", "state": "relaxed", "formation_energy_ev_per_fu": 3.83, "de_polymorph_mev_per_atom": 1205.4, "lattice": [[5.541, 0.000, 0.000], [0.000, 5.541, 0.000], [2.770, 2.770, 5.678]], "species": ["Mo", "Mo", "Ru", "Ru", "Ir", "Ir", "Ir", "Ir"], "frac_coords": [[0.250, 0.750, 0.500], [0.500, 0.500, 0.000], [0.000, 0.000, 0.000], [0.750, 0.250, 0.500], [0.633, 0.125, 0.250], [0.375, 0.367, 0.750], [0.875, 0.883, 0.750], [0.117, 0.625, 0.250]]}

---

{"formula": "Er6ScTe8", "functional": "GGA-PBE", "state": "relaxed", "e_form_raw_ev_per_atom": -1.29, "lattice": [[-5.491, 0.682, -6.573], [-7.029, -4.936, -0.257], [-7.752, 3.497, 1.223]], "species": ["Er", "Er", "Er", "Er", "Er", "Er", "Te", "Te", "Te", "Te", "Te", "Te", "Te", "Te", "Sc"], "frac_coords": [[0.000, 0.000, 0.500], [0.000, 0.500, 0.500], [0.000, 0.500, 0.000], [0.500, 0.500, 0.000], [0.500, 0.000, 0.500], [0.500, 0.000, 0.000], [0.751, 0.751, 0.249], [0.751, 0.249, 0.249], [0.250, 0.250, 0.250], [0.249, 0.751, 0.249], [0.249, 0.751, 0.751], [0.751, 0.249, 0.751], [0.750, 0.750, 0.750], [0.249, 0.249, 0.751], [0.000, 0.000, 0.000]]}

---

{"formula": "BaEuPd4", "functional": "GGA-PBE", "state": "relaxed", "formation_energy_ev_per_fu": -3.63, "lattice": [[-0.473, 5.350, -1.726], [-2.848, 3.732, 3.128], [2.767, 4.096, 2.719]], "species": ["Eu", "Pd", "Pd", "Pd", "Pd", "Ba"], "frac_coords": [[0.000, 0.000, 0.000], [0.123, 0.626, 0.626], [0.626, 0.626, 0.626], [0.626, 0.626, 0.123], [0.626, 0.123, 0.626], [0.250, 0.250, 0.250]]}

---

{"formula": "Sm2ThGe", "functional": "GGA-PBE", "state": "relaxed", "formation_energy_ev_per_fu": -0.79, "de_polymorph_mev_per_atom": 112.2, "lattice": [[3.702, 0.000, 0.000], [1.851, 3.206, 0.000], [1.851, 1.069, 9.977]], "species": ["Sm", "Sm", "Ge", "Th"], "frac_coords": [[0.737, 0.737, 0.789], [0.263, 0.263, 0.211], [0.000, 0.000, 0.000], [0.500, 0.500, 0.500]]}

---

{"formula": "TlBi2W", "functional": "GGA-PBE", "state": "relaxed", "formation_energy_ev_per_fu": 3.86, "de_polymorph_mev_per_atom": 23.0, "lattice": [[6.929, 0.000, 0.000], [0.000, 6.929, 0.000], [3.465, 3.465, 6.693]], "species": ["Tl", "Tl", "Bi", "Bi", "Bi", "Bi", "W", "W"], "frac_coords": [[0.750, 0.250, 0.500], [0.000, 0.000, 0.000], [0.549, 0.125, 0.250], [0.201, 0.625, 0.250], [0.375, 0.451, 0.750], [0.875, 0.799, 0.750], [0.500, 0.500, 0.000], [0.250, 0.750, 0.500]]}

---

{"formula": "K2LaTl", "functional": "GGA-PBE", "state": "relaxed", "formation_energy_ev_per_fu": 0.28, "de_polymorph_mev_per_atom": 82.9, "lattice": [[-11.093, 4.340, -5.533], [-9.040, 3.374, -8.911], [-11.149, 0.516, -6.924]], "species": ["Tl", "K", "K", "La"], "frac_coords": [[0.755, 0.755, 0.755], [0.245, 0.245, 0.245], [0.017, 0.017, 0.017], [0.483, 0.483, 0.483]]}

---

{"formula": "NaPmTl2", "functional": "GGA-PBE", "state": "relaxed", "formation_energy_ev_per_fu": -1.03, "lattice": [[-2.564, -3.542, -3.182], [-0.896, -5.042, 1.739], [-5.024, -1.588, 1.219]], "species": ["Pm", "Tl", "Tl", "Na"], "frac_coords": [[0.250, 0.250, 0.250], [0.000, 0.000, 0.000], [0.500, 0.500, 0.500], [0.750, 0.750, 0.750]]}

---

{"formula": "ScTiPb", "functional": "GGA-PBE", "state": "relaxed", "formation_energy_ev_per_fu": -0.31, "de_polymorph_mev_per_atom": 178.3, "lattice": [[-2.145, -1.361, 2.513], [0.158, -3.194, -1.594], [5.034, 1.079, 2.341]], "species": ["Ti", "Pb", "Sc"], "frac_coords": [[0.616, 0.616, 0.232], [0.277, 0.277, 0.554], [0.957, 0.957, 0.914]]}

---

{"formula": "NdCdPb2", "functional": "GGA-PBE", "state": "relaxed", "formation_energy_ev_per_fu": -0.61, "de_polymorph_mev_per_atom": 231.0, "lattice": [[5.471, 0.000, 0.000], [2.736, 4.738, 0.000], [2.736, 1.579, 4.467]], "species": ["Nd", "Cd", "Pb", "Pb"], "frac_coords": [[0.000, 0.000, 0.000], [0.500, 0.500, 0.500], [0.250, 0.250, 0.250], [0.750, 0.750, 0.750]]}

---

{"formula": "CdSi2AsSe", "functional": "GGA-PBE", "state": "relaxed", "e_form_raw_ev_per_atom": 0.91, "lattice": [[4.923, 0.000, 0.000], [0.000, 5.091, 0.000], [0.000, 0.000, 4.923]], "species": ["Si", "Si", "As", "Cd", "Se"], "frac_coords": [[0.500, 0.000, 0.000], [0.000, 0.000, 0.500], [0.000, 0.500, 0.000], [0.500, 0.500, 0.500], [0.000, 0.000, 0.000]]}

---

{"formula": "DyYMgRu", "functional": "GGA-PBE", "state": "relaxed", "formation_energy_ev_per_fu": -0.77, "de_polymorph_mev_per_atom": 90.0, "lattice": [[-1.634, -0.313, -4.746], [0.990, -4.102, -2.735], [-3.705, -3.190, -1.179]], "species": ["Ru", "Dy", "Y", "Mg"], "frac_coords": [[0.750, 0.750, 0.750], [0.000, 0.000, 0.000], [0.500, 0.500, 0.500], [0.250, 0.250, 0.250]]}

---

{"formula": "Ac2AlGe6Ir", "functional": "GGA-PBE", "state": "relaxed", "formation_energy_ev_per_fu": -3.86, "lattice": [[6.532, 0.000, 0.000], [3.266, 5.656, 0.000], [3.266, 1.885, 12.163]], "species": ["Ac", "Ac", "Ac", "Ac", "Ge", "Ge", "Ge", "Ge", "Ge", "Ge", "Ge", "Ge", "Ge", "Ge", "Ge", "Ge", "Al", "Al", "Ir", "Ir"], "frac_coords": [[0.707, 0.707, 0.878], [0.293, 0.293, 0.122], [0.118, 0.118, 0.646], [0.882, 0.882, 0.354], [0.238, 0.238, 0.876], [0.762, 0.762, 0.124], [0.351, 0.762, 0.124], [0.061, 0.664, 0.610], [0.336, 0.939, 0.390], [0.664, 0.664, 0.610], [0.238, 0.649, 0.876], [0.762, 0.351, 0.124], [0.336, 0.336, 0.390], [0.939, 0.336, 0.390], [0.649, 0.238, 0.876], [0.664, 0.061, 0.610], [0.000, 0.000, 0.000], [0.500, 0.500, 0.500], [0.432, 0.432, 0.703], [0.568, 0.568, 0.297]]}

---

| no. | total magnetization (μB per atom) |
| --- | --- |
| 1 | 0.00 |
| 2 | 0.00 |
| 3 | 1.19 |
| 4 | 0.00 |
| 5 | 0.27 |
| 6 | 0.00 |
| 7 | 0.00 |
| 8 | 0.00 |
| 9 | 0.00 |
| 10 | 0.00 |
| 11 | 0.00 |
| 12 | 0.00 |